(1)
A plane-wave DFT calculation with PBE was carried out for ZrCu3I after structural relaxation.

Properties
Total energy in eV per atom: -3.307
E above lowest polymorph in meV per atom: 0.0
Magnetic moment in μB/f.u.: 0.00
Formation energy (no corrections) in eV per atom: 1.17

POSCAR file:
```
ZrCu3I
1.0
5.073 0.000 0.000
0.000 5.073 0.000
0.000 0.000 5.073
I Cu Zr
1 3 1
Direct
0.500 0.500 0.500
0.000 0.500 0.000
0.000 0.000 0.500
0.500 0.000 0.000
0.000 0.000 0.000
```

(2)
A plane-wave DFT calculation with PBE was carried out for ZrCuI2 after structural relaxation.

Properties
Total energy in eV per atom: -3.665
E above lowest polymorph in meV per atom: 89.7
Magnetic moment in μB/f.u.: 2.96
Formation energy (no corrections) in eV per atom: 0.27

POSCAR file:
```
ZrCuI2
1.0
-5.541 -2.949 2.188
1.688 -5.564 -3.223
0.930 -6.123 4.202
I Cu Zr
4 2 2
Direct
0.584 0.125 0.250
0.166 0.625 0.250
0.375 0.416 0.750
0.875 0.834 0.750
0.500 0.500 0.000
0.250 0.750 0.500
0.000 0.000 0.000
0.750 0.250 0.500
```

(3)
A plane-wave DFT calculation with PBE was carried out for Zr3CuI after structural relaxation.

Properties
Total energy in eV per atom: -5.757
E above lowest polymorph in meV per atom: 0.0
Magnetic moment in μB/f.u.: 0.00
Formation energy (no corrections) in eV per atom: 0.50

POSCAR file:
```
Zr3CuI
1.0
-0.312 -4.443 -2.266
0.313 -2.283 4.434
-4.977 0.135 0.421
I Cu Zr
1 1 3
Direct
0.500 0.500 0.500
0.000 0.000 0.000
0.000 0.500 0.000
0.000 0.000 0.500
0.500 0.000 0.000
```

(4)
A plane-wave DFT calculation with PBE was carried out for ZrCuI3 after structural relaxation.

Properties
Total energy in eV per atom: -3.372
E above lowest polymorph in meV per atom: 0.0
Magnetic moment in μB/f.u.: 0.88
Formation energy (no corrections) in eV per atom: 0.09

POSCAR file:
```
ZrCuI3
1.0
5.735 0.000 0.000
0.000 5.735 0.000
0.000 0.000 5.735
I Cu Zr
3 1 1
Direct
0.000 0.500 0.000
0.000 0.000 0.500
0.500 0.000 0.000
0.500 0.500 0.500
0.000 0.000 0.000
```

(5)
A plane-wave DFT calculation with PBE was carried out for ZrCuI3 after structural relaxation.

Properties
Total energy in eV per atom: -3.076
E above lowest polymorph in meV per atom: 295.7
Magnetic moment in μB/f.u.: 2.13
Formation energy (no corrections) in eV per atom: 0.38

POSCAR file:
```
ZrCuI3
1.0
-5.017 1.640 -0.872
-1.088 -0.559 5.208
1.506 5.061 0.857
I Cu Zr
3 1 1
Direct
0.000 0.500 0.000
0.000 0.000 0.500
0.500 0.000 0.000
0.000 0.000 0.000
0.500 0.500 0.500
```

(6)
A plane-wave DFT calculation with PBE was carried out for ZrCu3I9 after structural relaxation.

Properties
Total energy in eV per atom: -3.040
Magnetic moment in μB/f.u.: 0.00
Formation energy (no corrections) in eV per atom: -0.36

POSCAR file:
```
ZrCu3I9
1.0
8.909 0.000 3.749
3.820 10.462 3.383
0.219 0.505 11.940
Zr Cu I
2 6 18
Direct
0.008 0.495 0.005
0.492 0.995 0.505
0.797 0.556 0.666
0.980 0.056 0.166
0.006 0.928 0.827
0.239 0.428 0.327
0.581 0.278 0.722
0.419 0.778 0.222
0.399 0.192 0.298
0.111 0.692 0.798
0.322 0.327 0.929
0.423 0.827 0.429
0.190 0.068 0.689
0.054 0.568 0.189
0.696 0.694 0.051
0.559 0.194 0.551
0.836 0.915 0.355
0.894 0.415 0.855
0.627 0.797 0.691
0.885 0.297 0.191
0.412 0.549 0.324
0.715 0.049 0.824
0.674 0.466 0.577
0.283 0.966 0.077
0.858 0.992 0.044
0.106 0.492 0.544
```

Question: The highest formation energy (no corrections) belongs to which entry?
Answer: ZrCu3I

Question: Number 6 is which compound?
Answer: ZrCu3I9